# CrCdTe3 (PBE, relaxed)
# Offset from the most stable computed form = 0 meV per atom
# Uncorrected formation energy = 0.2912 eV/atom
# D(E_F) = 5.54 states/eV per cell
data_CrCdTe3
_cell_length_a 5.243
_cell_length_b 5.243
_cell_length_c 5.243
_cell_angle_alpha 90.00
_cell_angle_beta 90.00
_cell_angle_gamma 90.00
_space_group_name_H-M_alt 'P 1'
_space_group_IT_number 1
_space_group_name_Hall 'P 1'
loop_
_atom_site_label
_atom_site_type_symbol
_atom_site_fract_x
_atom_site_fract_y
_atom_site_fract_z
_atom_site_occupancy
Cr1 Cr 0.000 0.000 0.000 1
Cd1 Cd 0.500 0.500 0.500 1
Te1 Te 0.000 0.000 0.500 1
Te2 Te 0.000 0.500 0.000 1
Te3 Te 0.500 0.000 0.000 1



# CrCdTe2 (PBE, relaxed)
# Uncorrected formation energy = -0.1402 eV/atom
# D(E_F) = 2.00 states/eV per cell
data_CrCdTe2
_cell_length_a 4.577
_cell_length_b 4.577
_cell_length_c 6.333
_cell_angle_alpha 90.00
_cell_angle_beta 90.00
_cell_angle_gamma 90.00
_space_group_name_H-M_alt 'P 1'
_space_group_IT_number 1
_space_group_name_Hall 'P 1'
loop_
_atom_site_label
_atom_site_type_symbol
_atom_site_fract_x
_atom_site_fract_y
_atom_site_fract_z
_atom_site_occupancy
Cr1 Cr 0.000 0.000 0.000 1
Cd1 Cd 0.500 0.500 0.500 1
Te1 Te 0.000 0.500 0.773 1
Te2 Te 0.500 0.000 0.227 1



# CrCdTe2 (PBE, relaxed)
# Uncorrected formation energy = -0.0361 eV/atom
# D(E_F) = 1.32 states/eV per cell
data_CrCdTe2
_cell_length_a 7.245
_cell_length_b 7.245
_cell_length_c 4.216
_cell_angle_alpha 93.49
_cell_angle_beta 93.49
_cell_angle_gamma 30.82
_space_group_name_H-M_alt 'P 1'
_space_group_IT_number 1
_space_group_name_Hall 'P 1'
loop_
_atom_site_label
_atom_site_type_symbol
_atom_site_fract_x
_atom_site_fract_y
_atom_site_fract_z
_atom_site_occupancy
Cr1 Cr 0.000 0.000 0.000 1
Cd1 Cd 0.218 0.218 0.661 1
Te1 Te 0.419 0.419 0.602 1
Te2 Te 0.646 0.646 0.134 1



# CrCd2Te (PBE, relaxed)
# Uncorrected formation energy = 0.2235 eV/atom
# D(E_F) = 2.24 states/eV per cell
data_CrCd2Te
_cell_length_a 4.168
_cell_length_b 4.168
_cell_length_c 5.348
_cell_angle_alpha 90.00
_cell_angle_beta 90.00
_cell_angle_gamma 90.00
_space_group_name_H-M_alt 'P 1'
_space_group_IT_number 1
_space_group_name_Hall 'P 1'
loop_
_atom_site_label
_atom_site_type_symbol
_atom_site_fract_x
_atom_site_fract_y
_atom_site_fract_z
_atom_site_occupancy
Cr1 Cr 0.000 0.000 0.000 1
Cd1 Cd 0.000 0.500 0.500 1
Cd2 Cd 0.500 0.000 0.500 1
Te1 Te 0.500 0.500 0.000 1



# Cr2CdTe2 (PBE, relaxed)
# Offset from the most stable computed form = 201 meV per atom
# Uncorrected formation energy = 0.3124 eV/atom
# D(E_F) = 0.66 states/eV per cell
data_Cr2CdTe2
_cell_length_a 5.440
_cell_length_b 5.440
_cell_length_c 5.440
_cell_angle_alpha 123.03
_cell_angle_beta 123.03
_cell_angle_gamma 84.83
_space_group_name_H-M_alt 'P 1'
_space_group_IT_number 1
_space_group_name_Hall 'P 1'
loop_
_atom_site_label
_atom_site_type_symbol
_atom_site_fract_x
_atom_site_fract_y
_atom_site_fract_z
_atom_site_occupancy
Cr1 Cr 0.114 0.114 0.000 1
Cr2 Cr 0.886 0.886 0.000 1
Cd1 Cd 0.500 0.500 0.000 1
Te1 Te 0.250 0.750 0.500 1
Te2 Te 0.750 0.250 0.500 1



# CrCdTe2 (PBE, relaxed)
# Uncorrected formation energy = 0.1676 eV/atom
# D(E_F) = 3.01 states/eV per cell
data_CrCdTe2
_cell_length_a 5.715
_cell_length_b 5.715
_cell_length_c 5.715
_cell_angle_alpha 138.36
_cell_angle_beta 105.53
_cell_angle_gamma 89.13
_space_group_name_H-M_alt 'P 1'
_space_group_IT_number 1
_space_group_name_Hall 'P 1'
loop_
_atom_site_label
_atom_site_type_symbol
_atom_site_fract_x
_atom_site_fract_y
_atom_site_fract_z
_atom_site_occupancy
Cr1 Cr 0.000 0.000 0.000 1
Cd1 Cd 0.500 0.500 0.000 1
Te1 Te 0.223 0.723 0.500 1
Te2 Te 0.777 0.277 0.500 1



# CrCdTe2 (PBE, relaxed)
# Uncorrected formation energy = 0.1727 eV/atom
# D(E_F) = 1.84 states/eV per cell
data_CrCdTe2
_cell_length_a 5.278
_cell_length_b 5.278
_cell_length_c 4.430
_cell_angle_alpha 105.77
_cell_angle_beta 105.77
_cell_angle_gamma 103.01
_space_group_name_H-M_alt 'P 1'
_space_group_IT_number 1
_space_group_name_Hall 'P 1'
loop_
_atom_site_label
_atom_site_type_symbol
_atom_site_fract_x
_atom_site_fract_y
_atom_site_fract_z
_atom_site_occupancy
Cr1 Cr 0.000 0.000 0.000 1
Cd1 Cd 0.500 0.500 0.000 1
Te1 Te 0.000 0.500 0.500 1
Te2 Te 0.500 0.000 0.500 1



# CrCd2Te (PBE, relaxed)
# Uncorrected formation energy = 0.1648 eV/atom
# D(E_F) = 1.92 states/eV per cell
data_CrCd2Te
_cell_length_a 4.791
_cell_length_b 4.791
_cell_length_c 6.589
_cell_angle_alpha 98.46
_cell_angle_beta 98.46
_cell_angle_gamma 46.54
_space_group_name_H-M_alt 'P 1'
_space_group_IT_number 1
_space_group_name_Hall 'P 1'
loop_
_atom_site_label
_atom_site_type_symbol
_atom_site_fract_x
_atom_site_fract_y
_atom_site_fract_z
_atom_site_occupancy
Cr1 Cr 0.000 0.000 0.000 1
Cd1 Cd 0.377 0.377 0.619 1
Cd2 Cd 0.684 0.684 0.792 1
Te1 Te 0.326 0.326 0.175 1



# CrCdTe2 (PBE, relaxed)
# Uncorrected formation energy = 0.2427 eV/atom
# D(E_F) = 2.32 states/eV per cell
data_CrCdTe2
_cell_length_a 5.187
_cell_length_b 5.187
_cell_length_c 3.634
_cell_angle_alpha 90.00
_cell_angle_beta 90.00
_cell_angle_gamma 90.00
_space_group_name_H-M_alt 'P 1'
_space_group_IT_number 1
_space_group_name_Hall 'P 1'
loop_
_atom_site_label
_atom_site_type_symbol
_atom_site_fract_x
_atom_site_fract_y
_atom_site_fract_z
_atom_site_occupancy
Cr1 Cr 0.000 0.000 0.000 1
Cd1 Cd 0.500 0.500 0.000 1
Te1 Te 0.000 0.500 0.500 1
Te2 Te 0.500 0.000 0.500 1



# CrCdTe2 (PBE, relaxed)
# Uncorrected formation energy = 0.1885 eV/atom
# D(E_F) = 2.73 states/eV per cell
data_CrCdTe2
_cell_length_a 3.960
_cell_length_b 4.123
_cell_length_c 7.180
_cell_angle_alpha 90.00
_cell_angle_beta 90.00
_cell_angle_gamma 90.00
_space_group_name_H-M_alt 'P 1'
_space_group_IT_number 1
_space_group_name_Hall 'P 1'
loop_
_atom_site_label
_atom_site_type_symbol
_atom_site_fract_x
_atom_site_fract_y
_atom_site_fract_z
_atom_site_occupancy
Cr1 Cr 0.000 0.000 0.000 1
Cd1 Cd 0.000 0.500 0.500 1
Te1 Te 0.500 0.000 0.500 1
Te2 Te 0.500 0.500 0.000 1



# Cr2CdTe (PBE, relaxed)
# Offset from the most stable computed form = 598 meV per atom
# Uncorrected formation energy = 0.9062 eV/atom
# D(E_F) = 10.67 states/eV per cell
data_Cr2CdTe
_cell_length_a 9.836
_cell_length_b 9.836
_cell_length_c 9.836
_cell_angle_alpha 156.08
_cell_angle_beta 156.08
_cell_angle_gamma 34.08
_space_group_name_H-M_alt 'P 1'
_space_group_IT_number 1
_space_group_name_Hall 'P 1'
loop_
_atom_site_label
_atom_site_type_symbol
_atom_site_fract_x
_atom_site_fract_y
_atom_site_fract_z
_atom_site_occupancy
Cr1 Cr 0.020 0.625 0.895 1
Cr2 Cr 0.375 0.270 0.395 1
Cr3 Cr 0.730 0.125 0.105 1
Cr4 Cr 0.875 0.980 0.605 1
Cd1 Cd 0.250 0.750 0.500 1
Cd2 Cd 0.500 0.500 0.000 1
Te1 Te 0.000 0.000 0.000 1
Te2 Te 0.750 0.250 0.500 1



# Cr2CdTe (PBE, relaxed)
# Offset from the most stable computed form = 134 meV per atom
# Uncorrected formation energy = 0.4425 eV/atom
# D(E_F) = 1.89 states/eV per cell
data_Cr2CdTe
_cell_length_a 3.713
_cell_length_b 4.690
_cell_length_c 4.730
_cell_angle_alpha 90.00
_cell_angle_beta 90.28
_cell_angle_gamma 90.00
_space_group_name_H-M_alt 'P 1'
_space_group_IT_number 1
_space_group_name_Hall 'P 1'
loop_
_atom_site_label
_atom_site_type_symbol
_atom_site_fract_x
_atom_site_fract_y
_atom_site_fract_z
_atom_site_occupancy
Cr1 Cr 0.000 0.000 0.000 1
Cr2 Cr 0.000 0.500 0.500 1
Cd1 Cd 0.500 0.000 0.500 1
Te1 Te 0.500 0.500 0.000 1



# Cr2CdTe2 (PBE, relaxed)
# Offset from the most stable computed form = 60 meV per atom
# Uncorrected formation energy = 0.1719 eV/atom
# D(E_F) = 3.59 states/eV per cell
data_Cr2CdTe2
_cell_length_a 7.735
_cell_length_b 7.735
_cell_length_c 3.783
_cell_angle_alpha 90.00
_cell_angle_beta 90.00
_cell_angle_gamma 90.00
_space_group_name_H-M_alt 'P 1'
_space_group_IT_number 1
_space_group_name_Hall 'P 1'
loop_
_atom_site_label
_atom_site_type_symbol
_atom_site_fract_x
_atom_site_fract_y
_atom_site_fract_z
_atom_site_occupancy
Cr1 Cr 0.138 0.362 0.000 1
Cr2 Cr 0.362 0.862 0.000 1
Cr3 Cr 0.638 0.138 0.000 1
Cr4 Cr 0.862 0.638 0.000 1
Cd1 Cd 0.000 0.000 0.000 1
Cd2 Cd 0.500 0.500 0.000 1
Te1 Te 0.162 0.662 0.500 1
Te2 Te 0.338 0.162 0.500 1
Te3 Te 0.662 0.838 0.500 1
Te4 Te 0.838 0.338 0.500 1



# CrCdTe2 (PBE, relaxed)
# Uncorrected formation energy = 0.0955 eV/atom
# D(E_F) = 2.15 states/eV per cell
data_CrCdTe2
_cell_length_a 7.536
_cell_length_b 7.536
_cell_length_c 7.536
_cell_angle_alpha 33.32
_cell_angle_beta 33.32
_cell_angle_gamma 33.32
_space_group_name_H-M_alt 'P 1'
_space_group_IT_number 1
_space_group_name_Hall 'P 1'
loop_
_atom_site_label
_atom_site_type_symbol
_atom_site_fract_x
_atom_site_fract_y
_atom_site_fract_z
_atom_site_occupancy
Cr1 Cr 0.000 0.000 0.000 1
Cd1 Cd 0.253 0.253 0.253 1
Te1 Te 0.526 0.526 0.526 1
Te2 Te 0.719 0.719 0.719 1